VASP calculation (GGA-PBE) on a relaxed Tl2PbAu crystal.

energy: -2.866 eV per atom
ΔH_f (0 K): 63 meV/atom

Cell lengths 6.041, 6.041, 6.041 Å; angles 134.89, 134.89, 65.70 degrees
Positions (direct):
Au 0.250 0.750 0.500
Pb 0.750 0.250 0.500
Tl 0.000 0.000 0.000
Tl 0.500 0.500 0.000